# 1
Crystalline SmSiRhN at its relaxed geometry, computed with GGA-PBE.

Structure (CIF):
```
data_SmSiRhN
_cell_length_a 3.948
_cell_length_b 3.948
_cell_length_c 8.147
_cell_angle_alpha 90.00
_cell_angle_beta 90.00
_cell_angle_gamma 90.00
_space_group_name_H-M_alt 'P 4/n m m'
_space_group_IT_number 129
loop_
_space_group_symop_operation_xyz
'x,y,z'
'-x,-y,-z'
'-y+1/2,x,z'
'y+1/2,-x,-z'
'-x+1/2,-y+1/2,z'
'x+1/2,y+1/2,-z'
'y,-x+1/2,z'
'-y,x+1/2,-z'
'x+1/2,-y,-z'
'-x+1/2,y,z'
'-y,-x,-z'
'y,x,z'
'-x,y+1/2,-z'
'x,-y+1/2,z'
'y+1/2,x+1/2,-z'
'-y+1/2,-x+1/2,z'
loop_
_atom_site_label
_atom_site_type_symbol
_atom_site_fract_x
_atom_site_fract_y
_atom_site_fract_z
_atom_site_occupancy
Sm1 Sm 0.250 0.250 0.159 1
Si1 Si 0.250 0.250 0.659 1
Rh1 Rh 0.250 0.750 0.500 1
N1 N 0.250 0.250 0.873 1
```

Values from the calculation:
The calculation puts the energy relative to the elements, uncorrected at -1.2276 eV/atom.

***

# 2
Crystalline MnAlGa2Cu4 at its relaxed geometry, computed with GGA-PBE.

Structure (CIF):
```
data_MnAlGa2Cu4
_cell_length_a 2.692
_cell_length_b 12.609
_cell_length_c 13.249
_cell_angle_alpha 90.00
_cell_angle_beta 90.00
_cell_angle_gamma 90.00
_space_group_name_H-M_alt 'C m c m'
_space_group_IT_number 63
_space_group_name_Hall '-C 2c 2'
loop_
_atom_site_label
_atom_site_type_symbol
_atom_site_fract_x
_atom_site_fract_y
_atom_site_fract_z
_atom_site_occupancy
Mn1 Mn 0.000 0.211 0.250 1
Al1 Al 0.000 0.122 0.750 1
Ga1 Ga 0.000 0.341 0.595 1
Cu1 Cu 0.000 0.000 0.000 1
Cu2 Cu 0.000 0.349 0.091 1
Cu3 Cu 0.000 0.462 0.750 1
```

Values from the calculation:
For the formation energy, the calculation gives 0.005 eV/atom.

***

# 3
Crystalline NpGeN2 at its relaxed geometry, computed with GGA-PBE.

Structure (CIF):
```
data_NpGeN2
_cell_length_a 3.1046
_cell_length_b 3.1046
_cell_length_c 19.0628
_cell_angle_alpha 90.00
_cell_angle_beta 90.00
_cell_angle_gamma 120.00
_space_group_name_H-M_alt 'R -3 m'
_space_group_IT_number 166
_space_group_name_Hall '-R 3 2"'
loop_
_atom_site_label
_atom_site_type_symbol
_atom_site_fract_x
_atom_site_fract_y
_atom_site_fract_z
_atom_site_occupancy
Np1 Np 0.0000 0.0000 0.0000 1
Ge1 Ge 0.0000 0.0000 0.5000 1
N1 N 0.0000 0.0000 0.1123 1
```

Values from the calculation:
The calculation puts the energy relative to the elements, uncorrected at 0.1782 eV/atom.

***

# 4
Crystalline AcNd2DyEr5 at its relaxed geometry, computed with GGA-PBE.

Structure (CIF):
```
data_AcNd2DyEr5
_cell_length_a 8.817
_cell_length_b 8.817
_cell_length_c 15.525
_cell_angle_alpha 90.00
_cell_angle_beta 90.00
_cell_angle_gamma 90.00
_space_group_name_H-M_alt 'I 4/m c m'
_space_group_IT_number 140
_space_group_name_Hall '-I 4 2c'
loop_
_atom_site_label
_atom_site_type_symbol
_atom_site_fract_x
_atom_site_fract_y
_atom_site_fract_z
_atom_site_occupancy
Ac1 Ac 0.000 0.000 0.250 1
Nd1 Nd 0.117 0.383 0.000 1
Dy1 Dy 0.000 0.500 0.250 1
Er1 Er 0.000 0.000 0.000 1
Er2 Er 0.207 0.293 0.367 1
```

Values from the calculation:
For the formation energy, the calculation gives 0.259 eV/atom.

***

# 5
Crystalline Sr2As2Ru2N at its relaxed geometry, computed with GGA-PBE.

Structure (CIF):
```
data_Sr2As2Ru2N
_cell_length_a 11.558
_cell_length_b 4.053
_cell_length_c 7.263
_cell_angle_alpha 90.00
_cell_angle_beta 123.93
_cell_angle_gamma 90.00
_space_group_name_H-M_alt 'C 1 2/m 1'
_space_group_IT_number 12
loop_
_space_group_symop_operation_xyz
'x,y,z'
'-x,-y,-z'
'-x,y,-z'
'x,-y,z'
'x+1/2,y+1/2,z'
'-x+1/2,-y+1/2,-z'
'-x+1/2,y+1/2,-z'
'x+1/2,-y+1/2,z'
loop_
_atom_site_label
_atom_site_type_symbol
_atom_site_fract_x
_atom_site_fract_y
_atom_site_fract_z
_atom_site_occupancy
Sr1 Sr 0.059 0.000 0.302 1
As1 As 0.183 0.500 0.725 1
Ru1 Ru 0.183 0.500 0.066 1
N1 N 0.000 0.500 0.000 1
```

Values from the calculation:
The calculation puts the energy relative to the elements, uncorrected at -0.6923 eV/atom.

***

# 6
Crystalline LaSi3Tc at its relaxed geometry, computed with GGA-PBE.

Structure (CIF):
```
data_LaSi3Tc
_cell_length_a 4.686
_cell_length_b 4.686
_cell_length_c 4.686
_cell_angle_alpha 90.00
_cell_angle_beta 90.00
_cell_angle_gamma 90.00
_space_group_name_H-M_alt 'P m -3 m'
_space_group_IT_number 221
_space_group_name_Hall '-P 4 2 3'
loop_
_atom_site_label
_atom_site_type_symbol
_atom_site_fract_x
_atom_site_fract_y
_atom_site_fract_z
_atom_site_occupancy
La1 La 0.000 0.000 0.000 1
Si1 Si 0.000 0.500 0.500 1
Tc1 Tc 0.500 0.500 0.500 1
```

Values from the calculation:
The calculation puts the energy relative to the elements, uncorrected at -0.1082 eV/atom.